(1)
NdGe2Bi | PBE-GGA | relaxed

The energy above the most stable polymorph in this dataset comes out at 240 kJ/mol of formula units. The formation energy comes out at 264 meV/atom. The value obtained for the volume is 452.87 Å³ per cell. The size of the total moment is 0.000 μB/cell.

Cell: 4.9604 4.9604 21.2524 Å, 90.00 90.00 120.00°
Atoms (fractional coordinates):
Nd (0.0000, 0.0000, 0.0000)
Nd (0.3333, 0.6667, 0.6667)
Nd (0.6667, 0.3333, 0.3333)
Ge (0.0000, 0.0000, 0.3746)
Ge (0.0000, 0.0000, 0.6254)
Ge (0.3333, 0.6667, 0.0412)
Ge (0.3333, 0.6667, 0.2921)
Ge (0.6667, 0.3333, 0.7079)
Ge (0.6667, 0.3333, 0.9588)
Bi (0.0000, 0.0000, 0.5000)
Bi (0.3333, 0.6667, 0.1667)
Bi (0.6667, 0.3333, 0.8333)

=====

(2)
SiAgPCl2 | PBE-GGA | relaxed

The energy above the most stable polymorph in this dataset comes out at 230 kJ/mol of formula units. The value obtained for the volume is 120.13 Å³ per cell. The size of the total moment is 0.046 μB/cell. The value obtained for the formation energy from raw total energies is 702 meV per atom.

Cell: 4.8454 4.8454 5.1165 Å, 90.00 90.00 90.00°
Atoms (fractional coordinates):
Si (0.0000, 0.0000, 0.0000)
Ag (0.5000, 0.5000, 0.5000)
P (0.5000, 0.5000, 0.0000)
Cl (0.0000, 0.5000, 0.5000)
Cl (0.5000, 0.0000, 0.5000)

=====

(3)
BeTe3 | PBE-GGA | relaxed

The energy above the most stable polymorph in this dataset comes out at 47 kJ/mol of formula units. The value obtained for the volume is 298.40 Å³ per cell. The size of the total moment is 0.000 μB/cell. The value obtained for the formation energy from raw total energies is 149 meV per atom.

Cell: 3.9470 3.9470 22.1175 Å, 90.00 90.00 120.00°
Atoms (fractional coordinates):
Be (0.0000, 0.0000, 0.0000)
Be (0.3333, 0.6667, 0.6667)
Be (0.6667, 0.3333, 0.3333)
Te (0.0000, 0.0000, 0.2707)
Te (0.0000, 0.0000, 0.5000)
Te (0.0000, 0.0000, 0.7293)
Te (0.3333, 0.6667, 0.1667)
Te (0.3333, 0.6667, 0.3959)
Te (0.3333, 0.6667, 0.9374)
Te (0.6667, 0.3333, 0.0626)
Te (0.6667, 0.3333, 0.6041)
Te (0.6667, 0.3333, 0.8333)

=====

(4)
SrLiBeF6 | PBE-GGA | relaxed

The value obtained for the volume is 113.33 Å³ per cell. The size of the total moment is 1.051 μB/cell. The value obtained for the formation energy from raw total energies is -2914 meV per atom.

Cell: 5.0501 5.0501 5.1297 Å, 90.00 90.00 120.00°
Atoms (fractional coordinates):
Sr (0.0000, 0.0000, 0.0000)
Li (0.3333, 0.6667, 0.5000)
Be (0.6667, 0.3333, 0.5000)
F (0.3952, 0.0398, 0.6994)
F (0.3952, 0.3554, 0.3006)
F (0.6446, 0.0398, 0.3006)
F (0.6446, 0.6048, 0.6994)
F (0.9602, 0.3554, 0.6994)
F (0.9602, 0.6048, 0.3006)

=====

(5)
LiHf2PtN | PBE-GGA | relaxed

The value obtained for the volume is 73.88 Å³ per cell. The size of the total moment is 0.000 μB/cell. The value obtained for the formation energy from raw total energies is -1114 meV per atom.

Cell: 4.4177 4.4177 3.7857 Å, 90.00 90.00 90.00°
Atoms (fractional coordinates):
Li (0.0000, 0.0000, 0.0000)
Hf (0.0000, 0.5000, 0.5000)
Hf (0.5000, 0.0000, 0.5000)
Pt (0.5000, 0.5000, 0.0000)
N (0.0000, 0.0000, 0.5000)

=====

(6)
Li3Pt | PBE-GGA | relaxed

The energy above the most stable polymorph in this dataset comes out at 0 kJ/mol of formula units. The formation energy comes out at -423 meV/atom. The value obtained for the volume is 113.17 Å³ per cell. The size of the total moment is 0.000 μB/cell.

Cell: 4.4617 5.3954 4.7012 Å, 90.00 90.00 90.00°
Atoms (fractional coordinates):
Li (0.2500, 0.0018, 0.1782)
Li (0.2500, 0.4982, 0.1782)
Li (0.2500, 0.7500, 0.6480)
Li (0.7500, 0.2500, 0.3520)
Li (0.7500, 0.5018, 0.8218)
Li (0.7500, 0.9982, 0.8218)
Pt (0.2500, 0.2500, 0.6844)
Pt (0.7500, 0.7500, 0.3156)

=====

(7)
ZrSnPd3 | PBE-GGA | relaxed

The energy above the most stable polymorph in this dataset comes out at 0 kJ/mol of formula units. The formation energy comes out at -583 meV/atom. The value obtained for the volume is 181.62 Å³ per cell. The size of the total moment is 0.000 μB/cell.

Cell: 4.6430 6.1338 6.7849 Å, 90.00 109.96 90.00°
Atoms (fractional coordinates):
Zr (0.1150, 0.2500, 0.2293)
Zr (0.8850, 0.7500, 0.7707)
Sn (0.1374, 0.7500, 0.2743)
Sn (0.8626, 0.2500, 0.7257)
Pd (0.3154, 0.5013, 0.6314)
Pd (0.3154, 0.9987, 0.6314)
Pd (0.4985, 0.2500, 0.9964)
Pd (0.5015, 0.7500, 0.0036)
Pd (0.6846, 0.0013, 0.3686)
Pd (0.6846, 0.4987, 0.3686)

=====

no.,density of states at the Fermi level (states/eV/cell)
1,6.613
2,4.227
3,7.811
4,9.261
5,1.160
6,2.516
7,5.721